A plane-wave DFT calculation with PBE+U was carried out for a relaxed NaVN2F6 crystal.

Summary:
The magnetic moment comes out at 6.00 μB per formula unit. The value obtained for the raw total energy is -188.84 eV/cell. For the density, the calculation gives 2.36 Mg/m³.

Geometry as CIF:
```
data_NaVN2F6
_chemical_formula_sum 'Na4 V4 N8 F24'
_space_group_name_H-M_alt 'F m -3 m'
_space_group_IT_number 225
_space_group_name_Hall '-F 4 2 3'
_cell_length_a 8.469
_cell_length_b 8.469
_cell_length_c 8.469
_cell_angle_alpha 90.00
_cell_angle_beta 90.00
_cell_angle_gamma 90.00
loop_
_atom_site_label
_atom_site_fract_x
_atom_site_fract_y
_atom_site_fract_z
Na1 0.000 0.000 0.000
V1 0.000 0.000 0.500
N1 0.250 0.250 0.250
F1 0.000 0.000 0.285
```